Entry 1
Compound: SmEr9Th2
Source: Alexandria
Functional: PBE
Structure: relaxed

a = 3.4831 Å, b = 11.2659 Å, c = 11.2659 Å
α = 120.00°, β = 90.00°, γ = 90.00°
Fractional coordinates of all 12 atoms:
Sm  0.0000  0.0000  0.0000
Er  0.0000  0.0000  0.5000
Er  0.0000  0.5000  0.5000
Er  0.0000  0.5000  0.0000
Er  0.5000  0.3503  0.1752
Er  0.5000  0.1752  0.8248
Er  0.5000  0.1752  0.3503
Er  0.5000  0.8248  0.6497
Er  0.5000  0.8248  0.1752
Er  0.5000  0.6497  0.8248
Th  0.0000  0.3333  0.6667
Th  0.0000  0.6667  0.3333

Results
The calculation puts the calculated volume at 382.9 Å³/f.u. As for the density of states at the Fermi level: 1.8513 states/eV per atom.

=====

Entry 2
Compound: SmEr9Th2
Source: Alexandria
Functional: PBE
Structure: relaxed

a = 4.9889 Å, b = 4.9889 Å, c = 14.9808 Å
α = 90.00°, β = 90.00°, γ = 90.00°
Fractional coordinates of all 12 atoms:
Sm  0.0000  0.0000  0.0000
Er  0.5000  0.5000  0.0000
Er  0.5000  0.5000  0.3335
Er  0.5000  0.5000  0.6665
Er  0.5000  0.0000  0.1691
Er  0.5000  0.0000  0.5000
Er  0.5000  0.0000  0.8309
Er  0.0000  0.5000  0.1691
Er  0.0000  0.5000  0.5000
Er  0.0000  0.5000  0.8309
Th  0.0000  0.0000  0.3342
Th  0.0000  0.0000  0.6658

Results
The calculation puts the calculated volume at 372.9 Å³/f.u. As for the density of states at the Fermi level: 1.5383 states/eV per atom.

=====

Computed relative energies in units of kJ/mol of atoms: entry 1 7.0; entry 2 0.0

=====

Entry 1
Compound: Sm3Er2Th
Source: Alexandria
Functional: PBE
Structure: relaxed

a = 11.0243 Å, b = 8.8489 Å, c = 8.8489 Å
α = 45.59°, β = 51.47°, γ = 51.47°
Fractional coordinates of all 12 atoms:
Sm  0.5000  0.2500  0.7500
Sm  0.5000  0.7500  0.2500
Sm  0.2324  0.0176  0.5176
Sm  0.7676  0.4824  0.9824
Sm  0.7676  0.9824  0.4824
Sm  0.2324  0.5176  0.0176
Er  0.9333  0.3097  0.3097
Er  0.5527  0.1903  0.1903
Er  0.4473  0.8097  0.8097
Er  0.0667  0.6903  0.6903
Th  0.0000  0.5000  0.5000
Th  0.0000  0.0000  0.0000

Results
The calculation puts the calculated volume at 227.3 Å³/f.u. As for the density of states at the Fermi level: 1.7732 states/eV per atom.

=====

Entry 2
Compound: Sm3Er2Th
Source: Alexandria
Functional: PBE
Structure: relaxed

a = 6.8498 Å, b = 7.8052 Å, c = 7.8052 Å
α = 74.74°, β = 90.00°, γ = 90.00°
Fractional coordinates of all 12 atoms:
Sm  0.0778  0.7812  0.4452
Sm  0.5778  0.5548  0.2188
Sm  0.0778  0.4452  0.7812
Sm  0.5778  0.2188  0.5548
Sm  0.3234  0.8593  0.8593
Sm  0.8234  0.1407  0.1407
Er  0.5744  0.8254  0.4825
Er  0.0744  0.5175  0.1746
Er  0.5744  0.4825  0.8254
Er  0.0744  0.1746  0.5175
Th  0.8300  0.8519  0.8519
Th  0.3300  0.1481  0.1481

Results
The calculation puts the calculated volume at 201.3 Å³/f.u. As for the density of states at the Fermi level: 1.4076 states/eV per atom.

=====

Computed relative energies in units of kJ/mol of atoms: entry 1 36.1; entry 2 0.0

=====

Entry 1
Compound: Sm3ErTh
Source: Alexandria
Functional: PBE
Structure: relaxed

a = 6.8631 Å, b = 6.8631 Å, c = 9.5764 Å
α = 69.00°, β = 69.00°, γ = 60.00°
Fractional coordinates of all 10 atoms:
Sm  0.2542  0.7685  0.2082
Sm  0.7691  0.2542  0.2082
Sm  0.7685  0.7691  0.2082
Sm  0.2315  0.2309  0.7918
Sm  0.2309  0.7458  0.7918
Sm  0.7458  0.2315  0.7918
Er  0.8168  0.8168  0.5495
Er  0.1832  0.1832  0.4505
Th  0.6968  0.6968  0.9096
Th  0.3032  0.3032  0.0904

Results
The calculation puts the calculated volume at 177.8 Å³/f.u. As for the density of states at the Fermi level: 1.6282 states/eV per atom.

=====

Entry 2
Compound: Sm3ErTh
Source: Alexandria
Functional: PBE
Structure: relaxed

a = 6.8486 Å, b = 12.3153 Å, c = 9.5862 Å
α = 146.34°, β = 66.47°, γ = 129.20°
Fractional coordinates of all 10 atoms:
Sm  0.0952  0.8422  0.5854
Sm  0.8883  0.6319  0.7822
Sm  0.6875  0.4454  0.0006
Sm  0.3125  0.5546  0.9994
Sm  0.9048  0.1578  0.4146
Sm  0.1117  0.3681  0.2178
Er  0.4750  0.2270  0.1839
Er  0.5250  0.7730  0.8161
Th  0.7257  0.9770  0.6300
Th  0.2743  0.0230  0.3700

Results
The calculation puts the calculated volume at 165.9 Å³/f.u. As for the density of states at the Fermi level: 1.7147 states/eV per atom.

=====

Computed relative energies in units of kJ/mol of atoms: entry 1 24.9; entry 2 0.0